No. 1
The following is a PBE calculation of a relaxed Sr2SmZn6 crystal, from Alexandria.

The space group is P6/mmm (No. 191) and the conventional cell measures 7.9275, 7.9275 and 3.9405 Å, with angles of 90.00, 90.00 and 120.00 degrees. Symmetry generates all atoms from Sr at (0.3333, 0.6667, 0.0000), Sm at (0.0000, 0.0000, 0.0000) and Zn at (0.0000, 0.3285, 0.5000).

For the calculated volume, the calculation gives 23.83 Å³/atom. The value obtained for the formation enthalpy at 0 K is -2.26 eV per formula unit. The calculation puts the density of states at the Fermi level at 6.6 states/eV/cell. Its total energy is -1.9982 eV/atom. The total magnetization is 0.0 μB/f.u.

No. 2
The following is a PBE calculation of a relaxed LaCr2Se crystal, from Alexandria.

The space group is I-42d (No. 122) and the conventional cell measures 4.489, 4.489 and 17.333 Å, with angles of 90.00, 90.00 and 90.00 degrees. Symmetry generates all atoms from La at (0.000, 0.000, 0.000), Cr at (0.037, 0.250, 0.625) and Se at (0.000, 0.000, 0.500).

For the calculated volume, the calculation gives 21.83 Å³/atom. The calculation puts the density of states at the Fermi level at 16.5 states/eV/cell. Its total energy is -6.7883 eV/atom. The total magnetization is 3.3 μB/f.u. As for the raw formation energy: 49 kJ/mol of formula units.

No. 3
The following is a PBE calculation of a relaxed Dy4Sn2Pt crystal, from Alexandria.

The space group is C2/m (No. 12) and the conventional cell measures 11.427, 4.564 and 8.689 Å, with angles of 90.00, 121.98 and 90.00 degrees. Symmetry generates all atoms from Dy at (0.075, 0.000, 0.360), Dy at (0.172, 0.500, 0.065), Sn at (0.146, 0.500, 0.660) and Pt at (0.000, 0.000, 0.000).

For the calculated volume, the calculation gives 27.45 Å³/atom. The value obtained for the formation enthalpy at 0 K is -5.58 eV per formula unit. The calculation puts the density of states at the Fermi level at 9.8 states/eV/cell. Its total energy is -5.4335 eV/atom. The total magnetization is 0.0 μB/f.u.

No. 4
The following is a PBE calculation of a relaxed Cs2NaCuCl6 crystal, from Alexandria.

The space group is I4/mmm (No. 139) and the conventional cell measures 7.388, 7.388 and 10.465 Å, with angles of 90.00, 90.00 and 90.00 degrees. Symmetry generates all atoms from Cs at (0.000, 0.500, 0.250), Na at (0.000, 0.000, 0.000), Cu at (0.000, 0.000, 0.500), Cl at (0.000, 0.000, 0.271) and Cl at (0.229, 0.229, 0.500).

For the calculated volume, the calculation gives 28.56 Å³/atom. The calculation puts the density of states at the Fermi level at 2.8 states/eV/cell. Its total energy is -3.1061 eV/atom. The total magnetization is 2.0 μB/f.u. As for the raw formation energy: -1241 kJ/mol of formula units.

No. 5
The following is a PBE calculation of a relaxed AlTcTe2 crystal, from Alexandria.

The space group is Pmmm (No. 47) and the conventional cell measures 3.672, 4.259 and 5.502 Å, with angles of 90.00, 90.00 and 90.00 degrees. Symmetry generates all atoms from Al at (0.000, 0.000, 0.000), Tc at (0.500, 0.000, 0.500), Te at (0.000, 0.500, 0.500) and Te at (0.500, 0.500, 0.000).

For the calculated volume, the calculation gives 21.51 Å³/atom. The calculation puts the density of states at the Fermi level at 3.8 states/eV/cell. Its total energy is -4.4777 eV/atom. The total magnetization is 1.0 μB/f.u. As for the raw formation energy: 239 kJ/mol of formula units.